Entry 1:
DFT (PBE-GGA) results for a relaxed structure of Ca2HfTaBi.

## Properties
* electronic total energy: -4.711 eV per atom

Unit cell a=5.6355 b=5.6355 c=5.3438 alpha=90.00 beta=90.00 gamma=90.00
Element x y z (fractional)
1 Ca 0.0000 0.5000 0.0000
2 Ca 0.5000 0.0000 0.0000
3 Hf 0.0000 0.0000 0.5000
4 Ta 0.5000 0.5000 0.5000
5 Bi 0.5000 0.5000 0.0000



Entry 2:
DFT (PBE-GGA) results for a relaxed structure of Ca2YHfBi4.

## Properties
* electronic total energy: -5.110 eV per atom

Unit cell a=7.6564 b=4.3870 c=7.9697 alpha=90.00 beta=108.35 gamma=90.00
Element x y z (fractional)
1 Ca 0.0000 0.0000 0.0000
2 Ca 0.5000 0.5000 0.0000
3 Y 0.0000 0.5000 0.5000
4 Hf 0.5000 0.0000 0.5000
5 Bi 0.2571 0.0000 0.7351
6 Bi 0.2689 0.5000 0.2718
7 Bi 0.7311 0.5000 0.7282
8 Bi 0.7429 0.0000 0.2649



Entry 3:
DFT (PBE-GGA) results for a relaxed structure of Ca2HgBi.

## Properties
* polymorph energy (0 for the lowest one): 129.7 meV per atom

Unit cell a=4.7266 b=4.7266 c=21.8795 alpha=90.00 beta=90.00 gamma=120.00
Element x y z (fractional)
1 Ca 0.0000 0.0000 0.0000
2 Ca 0.0000 0.0000 0.1872
3 Ca 0.3333 0.6667 0.6667
4 Ca 0.3333 0.6667 0.8538
5 Ca 0.6667 0.3333 0.3333
6 Ca 0.6667 0.3333 0.5205
7 Hg 0.0000 0.0000 0.4283
8 Hg 0.3333 0.6667 0.0950
9 Hg 0.6667 0.3333 0.7617
10 Bi 0.0000 0.0000 0.5918
11 Bi 0.3333 0.6667 0.2585
12 Bi 0.6667 0.3333 0.9252



Entry 4:
DFT (PBE-GGA) results for a relaxed structure of Ca8HgBi5.

## Properties
* electronic total energy: -3.347 eV per atom

Unit cell a=8.4069 b=8.4069 c=8.4069 alpha=109.41 beta=109.41 gamma=109.60
Element x y z (fractional)
1 Ca 0.0351 0.1280 0.7581
2 Ca 0.2480 0.4890 0.6074
3 Ca 0.3594 0.7520 0.2410
4 Ca 0.3698 0.2770 0.2419
5 Ca 0.5110 0.1184 0.7590
6 Ca 0.7230 0.9649 0.0929
7 Ca 0.8720 0.6302 0.9071
8 Ca 0.8816 0.6406 0.3926
9 Hg 0.7500 0.2500 0.5000
10 Bi 0.1315 0.0182 0.3823
11 Bi 0.2508 0.8685 0.8867
12 Bi 0.5000 0.5000 0.0000
13 Bi 0.6359 0.7492 0.6177
14 Bi 0.9818 0.3641 0.1133



Entry 5:
DFT (PBE-GGA) results for a relaxed structure of Ca2HgBi.

## Properties
* polymorph energy (0 for the lowest one): 0.0 meV per atom

Unit cell a=5.2312 b=5.2312 c=4.2992 alpha=90.00 beta=90.00 gamma=90.00
Element x y z (fractional)
1 Ca 0.0000 0.5000 0.0000
2 Ca 0.5000 0.0000 0.0000
3 Hg 0.0000 0.0000 0.5000
4 Bi 0.5000 0.5000 0.5000



Entry 6:
DFT (PBE-GGA) results for a relaxed structure of CaHgBi.

## Properties
* polymorph energy (0 for the lowest one): 97.0 meV per atom

Unit cell a=9.2632 b=5.7382 c=8.6097 alpha=90.00 beta=122.38 gamma=90.00
Element x y z (fractional)
1 Ca 0.2345 0.0000 0.2955
2 Ca 0.2655 0.5000 0.7045
3 Ca 0.7345 0.5000 0.2955
4 Ca 0.7655 0.0000 0.7045
5 Hg 0.0622 0.5000 0.2748
6 Hg 0.4378 0.0000 0.7252
7 Hg 0.5622 0.0000 0.2748
8 Hg 0.9378 0.5000 0.7252
9 Bi 0.1794 0.0000 0.8782
10 Bi 0.3206 0.5000 0.1218
11 Bi 0.6794 0.5000 0.8782
12 Bi 0.8206 0.0000 0.1218



Entry 7:
DFT (PBE-GGA) results for a relaxed structure of Ca2Hg3Bi3.

## Properties
* electronic total energy: -2.455 eV per atom

Unit cell a=4.9169 b=4.9837 c=9.2195 alpha=90.00 beta=90.00 gamma=90.00
Element x y z (fractional)
1 Ca 0.0000 0.0000 0.2413
2 Ca 0.0000 0.0000 0.7587
3 Hg 0.5000 0.0000 0.0000
4 Hg 0.5000 0.5000 0.2435
5 Hg 0.5000 0.5000 0.7565
6 Bi 0.0000 0.5000 0.0000
7 Bi 0.0000 0.5000 0.5000
8 Bi 0.5000 0.0000 0.5000



Entry 8:
DFT (PBE-GGA) results for a relaxed structure of CaHgBi.

## Properties
* polymorph energy (0 for the lowest one): 0.0 meV per atom

Unit cell a=15.5011 b=4.7969 c=4.6701 alpha=90.00 beta=90.00 gamma=90.00
Element x y z (fractional)
1 Ca 0.1023 0.2500 0.0007
2 Ca 0.3977 0.7500 0.5007
3 Ca 0.6023 0.2500 0.4993
4 Ca 0.8977 0.7500 0.9993
5 Hg 0.2491 0.2500 0.5007
6 Hg 0.2509 0.7500 0.0007
7 Hg 0.7491 0.2500 0.9993
8 Hg 0.7509 0.7500 0.4993
9 Bi 0.0833 0.7500 0.5007
10 Bi 0.4167 0.2500 0.0007
11 Bi 0.5833 0.7500 0.9993
12 Bi 0.9167 0.2500 0.4993



Entry 9:
DFT (PBE-GGA) results for a relaxed structure of Ca6HgBi5.

## Properties
* electronic total energy: -3.357 eV per atom

Unit cell a=8.8669 b=8.8669 c=8.0113 alpha=90.00 beta=90.00 gamma=143.67
Element x y z (fractional)
1 Ca 0.0000 0.0000 0.2454
2 Ca 0.0000 0.0000 0.7546
3 Ca 0.3298 0.6702 0.2563
4 Ca 0.3298 0.6702 0.7437
5 Ca 0.6702 0.3298 0.2563
6 Ca 0.6702 0.3298 0.7437
7 Hg 0.5000 0.5000 0.5000
8 Bi 0.1559 0.8441 0.5000
9 Bi 0.1670 0.8330 0.0000
10 Bi 0.5000 0.5000 0.0000
11 Bi 0.8330 0.1670 0.0000
12 Bi 0.8441 0.1559 0.5000



Entry 10:
DFT (PBE-GGA) results for a relaxed structure of CaHgBi2.

## Properties
* electronic total energy: -2.413 eV per atom

Unit cell a=3.6207 b=3.6207 c=34.8801 alpha=90.00 beta=90.00 gamma=120.00
Element x y z (fractional)
1 Ca 0.0000 0.0000 0.0000
2 Ca 0.3333 0.6667 0.6667
3 Ca 0.6667 0.3333 0.3333
4 Hg 0.0000 0.0000 0.5000
5 Hg 0.3333 0.6667 0.1667
6 Hg 0.6667 0.3333 0.8333
7 Bi 0.0000 0.0000 0.0940
8 Bi 0.0000 0.0000 0.9060
9 Bi 0.3333 0.6667 0.5727
10 Bi 0.3333 0.6667 0.7606
11 Bi 0.6667 0.3333 0.2394
12 Bi 0.6667 0.3333 0.4273



Entry 11:
DFT (PBE-GGA) results for a relaxed structure of Ca3Hg4Bi.

## Properties
* electronic total energy: -1.872 eV per atom

Unit cell a=10.4290 b=8.0425 c=5.2146 alpha=90.00 beta=90.00 gamma=90.00
Element x y z (fractional)
1 Ca 0.0000 0.0000 0.0000
2 Ca 0.2500 0.0000 0.4993
3 Ca 0.2500 0.5000 0.4989
4 Ca 0.5000 0.0000 0.0000
5 Ca 0.7500 0.0000 0.5007
6 Ca 0.7500 0.5000 0.5011
7 Hg 0.0000 0.2383 0.5000
8 Hg 0.0000 0.7617 0.5000
9 Hg 0.2500 0.2383 0.9989
10 Hg 0.2500 0.7617 0.9989
11 Hg 0.5000 0.2383 0.5000
12 Hg 0.5000 0.7617 0.5000
13 Hg 0.7500 0.2383 0.0011
14 Hg 0.7500 0.7617 0.0011
15 Bi 0.0000 0.5000 0.0000
16 Bi 0.5000 0.5000 0.0000



Entry 12:
DFT (PBE-GGA) results for a relaxed structure of Ca3HgBi.

## Properties
* polymorph energy (0 for the lowest one): 237.8 meV per atom

Unit cell a=5.7525 b=5.7525 c=5.7525 alpha=90.00 beta=90.00 gamma=90.00
Element x y z (fractional)
1 Ca 0.0000 0.0000 0.5000
2 Ca 0.0000 0.5000 0.0000
3 Ca 0.5000 0.0000 0.0000
4 Hg 0.0000 0.0000 0.0000
5 Bi 0.5000 0.5000 0.5000